InHg2OsW, optimized geometry, DFT GGA-PBEsol; N(E_F) = 0.96 states/eV per atom; SG = P4/mmm (123); ΔE_f = 1896.2 meV per atom
1.0
5.107 0.000 0.000
0.000 5.107 0.000
0.000 0.000 4.992
In Hg Os W
1 2 1 1
Direct
0.000 0.000 0.000
0.000 0.500 0.500
0.500 0.000 0.500
0.000 0.000 0.500
0.500 0.500 0.000